An optimized crystal structure of Ac5Cu2Sn5, computed with PBE.

Cell: 16.9959 4.7046 12.6531 Å, 90.00 131.23 90.00°
Space group C2/m (No. 12)
Inequivalent atoms, fractional coordinates:
Ac 0.0000 0.0000 0.0000 x2
Ac 0.1094 0.0000 0.4184 x4
Ac 0.1940 0.0000 0.8194 x4
Cu 0.1444 0.5000 0.2540 x4
Sn 0.0000 0.5000 0.5000 x2
Sn 0.0591 0.5000 0.8562 x4
Sn 0.2502 0.0000 0.3182 x4

Output
Spin magnetization   0.000 μB/atom
DOS(E_F)   15.2 states/eV/cell
E_form   -57 kJ/mol of atoms
E_tot   -55.8 eV per formula unit